DFT (GGA-PBE) results for a relaxed LaTl2Mo crystal.

Computed properties:
- Energy above the most stable polymorph in this dataset: 0.2642 eV/atom
- DFT formation energy: 2.30 eV per formula unit
- Size of the total moment: 3.27 μB per cell
- SG: No. 216

Lattice parameters (Å, degrees): 5.3178 5.3178 5.3178 60.00 60.00 60.00
With the nearest neighbours (Å) after each atom.
Fractional positions:
La 0.0000 0.0000 0.0000  4 Tl 3.26, 4 Mo 3.26
Tl 0.5000 0.5000 0.5000  4 Tl 3.26, 4 Mo 3.26
Tl 0.7500 0.7500 0.7500  4 Tl 3.26, 4 La 3.26
Mo 0.2500 0.2500 0.2500  4 Tl 3.26, 4 La 3.26

=====

DFT (GGA-PBE) results for a relaxed LaTl2Mo crystal.

Computed properties:
- Energy above the most stable polymorph in this dataset: 0.1183 eV/atom
- DFT formation energy: 1.71 eV per formula unit
- Size of the total moment: 0.02 μB per cell
- SG: No. 6

Lattice parameters (Å, degrees): 4.0834 4.4407 6.1409 90.00 109.24 90.00
With the nearest neighbours (Å) after each atom.
Fractional positions:
La 0.0000 0.0000 0.0000  4 Mo 3.09-3.11, 3 Tl 3.25-3.27
Tl 0.3123 0.5000 0.6227  1 Mo 2.90, 4 Tl 3.19-3.20
Tl 0.7198 0.0000 0.4395  2 Mo 2.88, 4 Tl 3.19-3.20
Mo 0.5582 0.5000 0.1236  3 Tl 2.88-2.90, 4 La 3.09-3.11

=====

DFT (GGA-PBE) results for a relaxed LaTl2Mo crystal.

Computed properties:
- Energy above the most stable polymorph in this dataset: 0.1526 eV/atom
- DFT formation energy: 1.85 eV per formula unit
- Size of the total moment: 1.87 μB per cell
- SG: No. 119

Lattice parameters (Å, degrees): 5.8555 5.8555 5.8555 133.91 133.91 67.23
With the nearest neighbours (Å) after each atom.
Fractional positions:
La 0.0000 0.0000 0.0000  8 Tl 3.24-3.35, 4 Mo 3.35
Tl 0.5000 0.5000 0.0000  4 La 3.24, 4 Tl 3.35, 4 Mo 3.35
Tl 0.7500 0.2500 0.5000  4 Mo 3.24, 4 Tl 3.35, 4 La 3.35
Mo 0.2500 0.7500 0.5000  8 Tl 3.24-3.35, 4 La 3.35

=====

DFT (GGA-PBE) results for a relaxed LaTmMo4 crystal.

Computed properties:
- DFT formation energy: 1.17 eV per formula unit
- Size of the total moment: 0.00 μB per cell
- SG: No. 216

Lattice parameters (Å, degrees): 5.5511 5.5511 5.5511 60.00 60.00 60.00
With the nearest neighbours (Å) after each atom.
Fractional positions:
La 0.0000 0.0000 0.0000  12 Mo 3.25, 4 Tm 3.40
Tm 0.7500 0.7500 0.7500  12 Mo 3.26, 4 La 3.40
Mo 0.3745 0.3745 0.3745  6 Mo 2.76-2.79
Mo 0.3745 0.3745 0.8765  6 Mo 2.76-2.79
Mo 0.3745 0.8765 0.3745  6 Mo 2.76-2.79
Mo 0.8765 0.3745 0.3745  6 Mo 2.76-2.79

=====

DFT (GGA-PBE) results for a relaxed La2VMo crystal.

Computed properties:
- Energy above the most stable polymorph in this dataset: 0.3293 eV/atom
- DFT formation energy: 3.77 eV per formula unit
- Size of the total moment: 4.25 μB per cell
- SG: No. 122

Lattice parameters (Å, degrees): 6.4814 6.4814 6.4814 103.24 103.24 122.81
With the nearest neighbours (Å) after each atom.
Fractional positions:
La 0.1149 0.6250 0.9899  2 Mo 2.89, 2 V 3.01, 2 La 3.11
La 0.3750 0.3649 0.4899  2 Mo 2.89, 2 V 3.01, 2 La 3.11
La 0.6351 0.1250 0.0101  2 Mo 2.89, 2 V 3.01, 2 La 3.11
La 0.8750 0.8851 0.5101  2 Mo 2.89, 2 V 3.01, 2 La 3.11
V 0.2500 0.7500 0.5000  4 La 3.01, 2 Mo 3.10
V 0.5000 0.5000 0.0000  4 La 3.01, 2 Mo 3.10
Mo 0.0000 0.0000 0.0000  4 La 2.89, 2 V 3.10
Mo 0.7500 0.2500 0.5000  4 La 2.89, 2 V 3.10

=====

DFT (GGA-PBE) results for a relaxed La2VMo crystal.

Computed properties:
- Energy above the most stable polymorph in this dataset: 0.0000 eV/atom
- DFT formation energy: 2.46 eV per formula unit
- Size of the total moment: 2.58 μB per cell
- SG: No. 225

Lattice parameters (Å, degrees): 5.1846 5.1846 5.1846 60.00 60.00 60.00
With the nearest neighbours (Å) after each atom.
Fractional positions:
La 0.2500 0.2500 0.2500  4 Mo 3.17, 4 V 3.17
La 0.7500 0.7500 0.7500  4 Mo 3.17, 4 V 3.17
V 0.0000 0.0000 0.0000  8 La 3.17
Mo 0.5000 0.5000 0.5000  8 La 3.17

=====

DFT (GGA-PBE) results for a relaxed La3VMo crystal.

Computed properties:
- Energy above the most stable polymorph in this dataset: 0.0000 eV/atom
- DFT formation energy: 3.43 eV per formula unit
- Size of the total moment: 4.54 μB per cell
- SG: No. 221

Lattice parameters (Å, degrees): 5.5097 5.5097 5.5097 90.00 90.00 90.00
With the nearest neighbours (Å) after each atom.
Fractional positions:
La 0.0000 0.0000 0.5000  2 Mo 2.75
La 0.0000 0.5000 0.0000  2 Mo 2.75
La 0.5000 0.0000 0.0000  2 Mo 2.75
V 0.5000 0.5000 0.5000  12 La 3.90
Mo 0.0000 0.0000 0.0000  6 La 2.75

=====

DFT (GGA-PBE) results for a relaxed LaV3Mo crystal.

Computed properties:
- Energy above the most stable polymorph in this dataset: 1.1208 eV/atom
- DFT formation energy: 9.49 eV per formula unit
- Size of the total moment: 0.00 μB per cell
- SG: No. 221

Lattice parameters (Å, degrees): 4.5186 4.5186 4.5186 90.00 90.00 90.00
With the nearest neighbours (Å) after each atom.
Fractional positions:
La 0.0000 0.0000 0.0000  6 V 2.26
V 0.0000 0.0000 0.5000  2 La 2.26
V 0.0000 0.5000 0.0000  2 La 2.26
V 0.5000 0.0000 0.0000  2 La 2.26
Mo 0.5000 0.5000 0.5000  12 V 3.20

=====

DFT (GGA-PBE) results for a relaxed LaV3Mo crystal.

Computed properties:
- Energy above the most stable polymorph in this dataset: 0.0000 eV/atom
- DFT formation energy: 3.88 eV per formula unit
- Size of the total moment: 4.90 μB per cell
- SG: No. 221

Lattice parameters (Å, degrees): 4.7720 4.7720 4.7720 90.00 90.00 90.00
With the nearest neighbours (Å) after each atom.
Fractional positions:
La 0.0000 0.0000 0.0000  12 V 3.37
V 0.0000 0.5000 0.5000  2 Mo 2.39
V 0.5000 0.0000 0.5000  2 Mo 2.39
V 0.5000 0.5000 0.0000  2 Mo 2.39
Mo 0.5000 0.5000 0.5000  6 V 2.39

=====

DFT (GGA-PBE) results for a relaxed LaMo2W crystal.

Computed properties:
- Energy above the most stable polymorph in this dataset: 0.0360 eV/atom
- DFT formation energy: 1.74 eV per formula unit
- Size of the total moment: 0.00 μB per cell
- SG: No. 99

Lattice parameters (Å, degrees): 3.1910 3.1910 7.8049 90.00 90.00 90.00
With the nearest neighbours (Å) after each atom.
Fractional positions:
La 0.0000 0.0000 0.0000  4 La 3.19, 4 W 3.29, 4 Mo 3.32
Mo 0.0000 0.0000 0.5026  4 Mo 2.70, 4 W 2.70
Mo 0.5000 0.5000 0.3125  4 Mo 2.70, 1 W 2.97
W 0.5000 0.5000 0.6930  5 Mo 2.70-2.97

=====

DFT (GGA-PBE) results for a relaxed LaMo2W crystal.

Computed properties:
- Energy above the most stable polymorph in this dataset: 0.2720 eV/atom
- DFT formation energy: 2.69 eV per formula unit
- Size of the total moment: 0.00 μB per cell
- SG: No. 160

Lattice parameters (Å, degrees): 9.7102 9.7102 9.7102 18.16 18.16 18.16
With the nearest neighbours (Å) after each atom.
Fractional positions:
La 0.0000 0.0000 0.0000  6 La 3.06, 3 Mo 3.28, 3 W 3.28
Mo 0.2369 0.2369 0.2369  3 Mo 2.66
Mo 0.5011 0.5011 0.5011  3 Mo 2.66, 3 W 2.70
W 0.7632 0.7632 0.7632  3 Mo 2.70

=====

DFT (GGA-PBE) results for a relaxed LaMoW crystal.

Computed properties:
- Energy above the most stable polymorph in this dataset: 0.2569 eV/atom
- DFT formation energy: 2.04 eV per formula unit
- Size of the total moment: 0.00 μB per cell
- SG: No. 156

Lattice parameters (Å, degrees): 3.2070 3.2070 7.1552 90.00 90.00 120.00
With the nearest neighbours (Å) after each atom.
Fractional positions:
La 0.0000 0.0000 0.0000  6 La 3.21, 3 Mo 3.26, 3 W 3.28
Mo 0.6667 0.3333 0.3758  3 W 2.55
W 0.3333 0.6667 0.6216  3 Mo 2.55

=====

Q: What is the DFT formation energy in the ninth record?
A: 3.88 eV per formula unit

=====

Q: Look up the DFT formation energy of the sixth one.
A: 2.46 eV per formula unit